Record 1
Here is crystalline AlSn2Hg at its relaxed geometry from the Open Quantum Materials Database. Energies are from PBE.

The total energy is -2.841 eV per atom. Its theoretical density is 7.8 g/cm³. The calculated volume comes out at 24.801 A^3/atom.

The structure belongs to space group F-43m (No. 216); the cell edges are 7.3484, 7.3484 and 7.3484 Å and the angles 90.00°, 90.00° and 90.00°. The inequivalent atoms are Al at (0.0000, 0.0000, 0.0000), Sn at (0.0000, 0.0000, 0.5000), Sn at (0.2500, 0.2500, 0.7500) and Hg at (0.2500, 0.2500, 0.2500).

=====

Record 2
Here is crystalline AlSnHg at its relaxed geometry from the Open Quantum Materials Database. Energies are from PBE.

The total energy is -2.571 eV per atom. Its theoretical density is 7.6 g/cm³. The calculated volume comes out at 25.091 A^3/atom.

The structure belongs to space group F-43m (No. 216); the cell edges are 6.7025, 6.7025 and 6.7025 Å and the angles 90.00°, 90.00° and 90.00°. The inequivalent atoms are Al at (0.0000, 0.0000, 0.0000), Sn at (0.2500, 0.2500, 0.2500) and Hg at (0.2500, 0.2500, 0.7500).

=====

Record 3
Here is crystalline SrAlHg at its relaxed geometry from the Open Quantum Materials Database. Energies are from PBE.

The total energy is -1.644 eV per atom. Its theoretical density is 5.1 g/cm³. The calculated volume comes out at 34.502 A^3/atom.

The structure belongs to space group F-43m (No. 216); the cell edges are 7.4532, 7.4532 and 7.4532 Å and the angles 90.00°, 90.00° and 90.00°. The inequivalent atoms are Sr at (0.0000, 0.0000, 0.0000), Al at (0.2500, 0.2500, 0.7500) and Hg at (0.2500, 0.2500, 0.2500).

=====

Record 4
Here is crystalline SrAl2Hg2 at its relaxed geometry from the Open Quantum Materials Database. Energies are from PBE.

The total energy is -2.242 eV per atom. Its theoretical density is 7.5 g/cm³. The calculated volume comes out at 23.909 A^3/atom.

The structure belongs to space group I4/mmm (No. 139); the cell edges are 4.4268, 4.4268 and 12.2005 Å and the angles 90.00°, 90.00° and 90.00°. The inequivalent atoms are Sr at (0.0000, 0.0000, 0.0000), Al at (0.0000, 0.5000, 0.2500) and Hg at (0.0000, 0.0000, 0.3821).

=====

Record 5
Here is crystalline SrAlHg at its relaxed geometry from the Open Quantum Materials Database. Energies are from PBE.

The total energy is -2.042 eV per atom. Its theoretical density is 5.7 g/cm³. The calculated volume comes out at 30.644 A^3/atom.

The structure belongs to space group F-43m (No. 216); the cell edges are 7.1643, 7.1643 and 7.1643 Å and the angles 90.00°, 90.00° and 90.00°. The inequivalent atoms are Sr at (0.0000, 0.0000, 0.0000), Al at (0.0000, 0.0000, 0.5000) and Hg at (0.2500, 0.2500, 0.7500).

=====

Record 6
Here is crystalline Tb2Al3Hg3 at its relaxed geometry from the Open Quantum Materials Database. Energies are from PBE.

The total energy is -2.992 eV per atom. Its theoretical density is 9.5 g/cm³. The calculated volume comes out at 21.813 A^3/atom.

The structure belongs to space group Pm (No. 6); the cell edges are 6.4421, 4.7989 and 6.4699 Å and the angles 90.00°, 119.25° and 90.00°. The inequivalent atoms are Tb at (0.0000, 0.0000, 0.0000), Tb at (0.3298, 0.5000, 0.6727), Al at (0.3697, 0.5000, 0.1928), Al at (0.8242, 0.5000, 0.6423), Al at (0.9707, 0.0000, 0.4994), Hg at (0.4922, 0.0000, 0.0114), Hg at (0.5053, 0.0000, 0.5032) and Hg at (0.8457, 0.5000, 0.1892).

=====

Record 7
Here is crystalline Tb2Al3Hg3 at its relaxed geometry from the Open Quantum Materials Database. Energies are from PBE.

The total energy is -3.006 eV per atom. Its theoretical density is 9.5 g/cm³. The calculated volume comes out at 21.943 A^3/atom.

The structure belongs to space group P-6m2 (No. 187); the cell edges are 6.5717, 6.5717 and 4.6936 Å and the angles 90.00°, 90.00° and 120.00°. The inequivalent atoms are Tb at (0.0000, 0.0000, 0.0000), Tb at (0.3333, 0.6667, 0.5000), Al at (0.3769, 0.1884, 0.5000) and Hg at (0.5061, 0.0122, 0.0000).

=====

Record 8
Here is crystalline TbAlHg2 at its relaxed geometry from the Open Quantum Materials Database. Energies are from PBE.

The total energy is -2.562 eV per atom. Its theoretical density is 10.8 g/cm³. The calculated volume comes out at 22.496 A^3/atom.

The structure belongs to space group Amm2 (No. 38); the cell edges are 4.8440, 6.5850 and 11.2842 Å and the angles 90.00°, 90.00° and 90.00°. The inequivalent atoms are Tb at (0.0000, 0.0000, 0.0000), Tb at (0.5000, 0.0000, 0.3337), Al at (0.0000, 0.2254, 0.7430), Hg at (0.0000, 0.0000, 0.4995), Hg at (0.5000, 0.0000, 0.8315) and Hg at (0.5000, 0.2493, 0.0941).

=====

Record 9
Here is crystalline TbAlHg2 at its relaxed geometry from the Open Quantum Materials Database. Energies are from PBE.

The total energy is -2.555 eV per atom. Its theoretical density is 10.9 g/cm³. The calculated volume comes out at 22.385 A^3/atom.

The structure belongs to space group Cmcm (No. 63); the cell edges are 6.5344, 11.3157 and 4.8438 Å and the angles 90.00°, 90.00° and 90.00°. The inequivalent atoms are Tb at (0.0000, 0.1669, 0.2500), Al at (0.0000, 0.3488, 0.7500) and Hg at (0.2421, 0.4117, 0.2500).

=====

Record 10
Here is crystalline Tb2Al5Hg at its relaxed geometry from the Open Quantum Materials Database. Energies are from PBE.

The total energy is -3.921 eV per atom. Its theoretical density is 6.6 g/cm³. The calculated volume comes out at 20.525 A^3/atom.

The structure belongs to space group Amm2 (No. 38); the cell edges are 4.6596, 6.4831 and 10.8711 Å and the angles 90.00°, 90.00° and 90.00°. The inequivalent atoms are Tb at (0.0000, 0.0000, 0.0000), Tb at (0.5000, 0.0000, 0.3189), Al at (0.0000, 0.0000, 0.5073), Al at (0.0000, 0.2159, 0.7282), Al at (0.5000, 0.2180, 0.5805) and Hg at (0.5000, 0.0000, 0.8197).

=====

Record 11
Here is crystalline Tb2Al3Hg3 at its relaxed geometry from the Open Quantum Materials Database. Energies are from PBE.

The total energy is -3.000 eV per atom. Its theoretical density is 9.5 g/cm³. The calculated volume comes out at 21.798 A^3/atom.

The structure belongs to space group Amm2 (No. 38); the cell edges are 4.8284, 6.4718 and 11.1611 Å and the angles 90.00°, 90.00° and 90.00°. The inequivalent atoms are Tb at (0.0000, 0.0000, 0.0000), Tb at (0.5000, 0.0000, 0.3394), Al at (0.0000, 0.2224, 0.7517), Al at (0.5000, 0.0000, 0.8250), Hg at (0.0000, 0.0000, 0.5085) and Hg at (0.5000, 0.2488, 0.0992).

=====

Record 12
Here is crystalline TbAlHg2 at its relaxed geometry from the Open Quantum Materials Database. Energies are from PBE.

The total energy is -2.562 eV per atom. Its theoretical density is 10.8 g/cm³. The calculated volume comes out at 22.463 A^3/atom.

The structure belongs to space group Ama2 (No. 40); the cell edges are 4.8489, 11.3136 and 6.5517 Å and the angles 90.00°, 90.00° and 90.00°. The inequivalent atoms are Tb at (0.2500, 0.1646, 0.0000), Al at (0.2500, 0.4270, 0.7624), Hg at (0.2500, 0.1622, 0.4809) and Hg at (0.2500, 0.4158, 0.2426).